[1]
Entry from the Alexandria database: In2PbSe after structural relaxation (PBE). Values from VASP.

Values from the calculation:
- symmetry = Cmmm
- relative energy among the computed polymorphs (meV/atom) = 101.0
- magnetic moment (μB/cell) = 0.000

```
&SYSTEM
  ibrav = 0, nat = 4, ntyp = 3
/
ATOMIC_SPECIES
In 114.82 In.upf
Pb 207.20 Pb.upf
Se 78.96 Se.upf
CELL_PARAMETERS angstrom
-0.111 -1.526 -3.327
3.265 -0.486 1.585
-2.947 -7.808 3.679
ATOMIC_POSITIONS angstrom
In -2.839 -7.522 3.545
In -1.581 -4.189 1.974
Pb 0.840 -2.958 0.049
Se -0.633 -6.861 1.888
```

[2]
Entry from the Alexandria database: InPbSe2 after structural relaxation (PBE). Values from VASP.

Values from the calculation:
- total energy (eV per cell) = -14.4
- symmetry = Pmmm
- magnetic moment (μB/cell) = 0.000

```
&SYSTEM
  ibrav = 0, nat = 4, ntyp = 3
/
ATOMIC_SPECIES
In 114.82 In.upf
Pb 207.20 Pb.upf
Se 78.96 Se.upf
CELL_PARAMETERS angstrom
-1.145 -0.869 5.031
-4.513 -2.206 -1.408
1.686 -3.327 -0.191
ATOMIC_POSITIONS angstrom
In 0.271 -2.098 2.420
Pb -1.414 -2.767 -0.800
Se 0.000 0.000 0.000
Se -2.829 -1.538 1.811
```

[3]
Entry from the Alexandria database: InPb2Se after structural relaxation (PBE). Values from VASP.

Values from the calculation:
- symmetry = R3m
- relative energy among the computed polymorphs (meV/atom) = 0.0
- magnetic moment (μB/cell) = 0.000

```
&SYSTEM
  ibrav = 0, nat = 4, ntyp = 3
/
ATOMIC_SPECIES
In 114.82 In.upf
Pb 207.20 Pb.upf
Se 78.96 Se.upf
CELL_PARAMETERS angstrom
-0.477 -6.482 6.439
-0.661 -8.576 3.115
2.826 -7.431 4.527
ATOMIC_POSITIONS angstrom
In 1.287 -17.146 10.736
Pb 0.007 -0.099 0.062
Pb 0.410 -5.463 3.421
Se 0.827 -11.024 6.903
```

[4]
Entry from the Alexandria database: InPbSe2 after structural relaxation (PBE). Values from VASP.

Values from the calculation:
- total energy (eV per cell) = -13.1
- symmetry = F-43m
- magnetic moment (μB/cell) = 0.000

```
&SYSTEM
  ibrav = 0, nat = 4, ntyp = 3
/
ATOMIC_SPECIES
In 114.82 In.upf
Pb 207.20 Pb.upf
Se 78.96 Se.upf
CELL_PARAMETERS angstrom
5.262 0.000 0.000
2.631 4.557 0.000
2.631 1.519 4.296
ATOMIC_POSITIONS angstrom
In 5.262 3.038 2.148
Pb 7.892 4.557 3.222
Se 0.000 0.000 0.000
Se 2.631 1.519 1.074
```

[5]
Entry from the Alexandria database: InPb2Se after structural relaxation (PBE). Values from VASP.

Values from the calculation:
- symmetry = R-3m
- relative energy among the computed polymorphs (meV/atom) = 38.8
- magnetic moment (μB/cell) = 0.000

```
&SYSTEM
  ibrav = 0, nat = 4, ntyp = 3
/
ATOMIC_SPECIES
In 114.82 In.upf
Pb 207.20 Pb.upf
Se 78.96 Se.upf
CELL_PARAMETERS angstrom
-4.053 7.917 -3.286
-5.855 5.174 -5.370
-7.100 6.025 -1.786
ATOMIC_POSITIONS angstrom
In -12.756 14.337 -7.831
Pb -16.829 18.915 -10.332
Pb -8.683 9.758 -5.331
Se -4.252 4.779 -2.610
```

[6]
Entry from the Alexandria database: InPbSe2 after structural relaxation (PBE). Values from VASP.

Values from the calculation:
- total energy (eV per cell) = -30.6
- symmetry = Pmmn
- magnetic moment (μB/cell) = 0.000

```
&SYSTEM
  ibrav = 0, nat = 8, ntyp = 3
/
ATOMIC_SPECIES
In 114.82 In.upf
Pb 207.20 Pb.upf
Se 78.96 Se.upf
CELL_PARAMETERS angstrom
-0.610 -0.208 -4.229
-2.750 -8.201 0.800
-5.640 1.961 0.717
ATOMIC_POSITIONS angstrom
In -1.037 -3.091 0.301
In -4.839 -4.233 -1.258
Pb -2.407 -7.177 0.700
Pb -3.469 -0.148 -1.656
Se -3.867 -2.140 0.663
Se -2.009 -5.184 -1.619
Se -5.194 -6.097 1.048
Se -0.682 -1.228 -2.005
```

[7]
Entry from the Alexandria database: In2PbSe after structural relaxation (PBE). Values from VASP.

Values from the calculation:
- symmetry = Immm
- relative energy among the computed polymorphs (meV/atom) = 30.4
- magnetic moment (μB/cell) = 0.000

```
&SYSTEM
  ibrav = 0, nat = 4, ntyp = 3
/
ATOMIC_SPECIES
In 114.82 In.upf
Pb 207.20 Pb.upf
Se 78.96 Se.upf
CELL_PARAMETERS angstrom
6.316 0.060 0.092
5.192 3.597 0.092
2.222 0.706 4.857
ATOMIC_POSITIONS angstrom
In 2.490 0.791 4.722
In 6.597 2.096 2.654
Pb 3.432 1.091 1.260
Se 10.297 3.272 3.780
```

[8]
Entry from the Alexandria database: InPbSe2 after structural relaxation (PBE). Values from VASP.

Values from the calculation:
- total energy (eV per cell) = -15.1
- symmetry = R3m
- magnetic moment (μB/cell) = 0.000

```
&SYSTEM
  ibrav = 0, nat = 4, ntyp = 3
/
ATOMIC_SPECIES
In 114.82 In.upf
Pb 207.20 Pb.upf
Se 78.96 Se.upf
CELL_PARAMETERS angstrom
4.098 0.000 0.000
2.049 3.549 0.000
2.049 1.183 7.565
ATOMIC_POSITIONS angstrom
In 4.098 2.366 0.034
Pb 4.098 2.366 3.873
Se 2.049 1.183 5.786
Se 2.049 1.183 1.656
```

[9]
Entry from the Alexandria database: InPbSe after structural relaxation (PBE). Values from VASP.

Values from the calculation:
- symmetry = P3m1
- relative energy among the computed polymorphs (meV/atom) = 98.0
- magnetic moment (μB/cell) = 0.000

```
&SYSTEM
  ibrav = 0, nat = 3, ntyp = 3
/
ATOMIC_SPECIES
In 114.82 In.upf
Pb 207.20 Pb.upf
Se 78.96 Se.upf
CELL_PARAMETERS angstrom
4.785 0.000 0.000
-2.393 4.144 0.000
0.000 0.000 4.521
ATOMIC_POSITIONS angstrom
In 0.000 0.000 4.290
Pb 0.000 2.763 1.741
Se 2.393 1.381 3.011
```

[10]
Entry from the Alexandria database: In2PbSe after structural relaxation (PBE). Values from VASP.

Values from the calculation:
- symmetry = Imm2
- relative energy among the computed polymorphs (meV/atom) = 49.1
- magnetic moment (μB/cell) = 0.000

```
&SYSTEM
  ibrav = 0, nat = 4, ntyp = 3
/
ATOMIC_SPECIES
In 114.82 In.upf
Pb 207.20 Pb.upf
Se 78.96 Se.upf
CELL_PARAMETERS angstrom
-1.145 -6.039 -0.702
0.129 -3.245 5.265
-2.810 4.765 -2.769
ATOMIC_POSITIONS angstrom
In -0.029 -0.265 0.130
In -2.237 -3.007 -0.571
Pb -0.478 -4.368 2.147
Se -1.590 -1.521 2.369
```

[11]
Entry from the Alexandria database: In2PbSe after structural relaxation (PBE). Values from VASP.

Values from the calculation:
- symmetry = Fm-3m
- relative energy among the computed polymorphs (meV/atom) = 198.5
- magnetic moment (μB/cell) = 0.000

```
&SYSTEM
  ibrav = 0, nat = 4, ntyp = 3
/
ATOMIC_SPECIES
Pb 207.20 Pb.upf
Se 78.96 Se.upf
In 114.82 In.upf
CELL_PARAMETERS angstrom
0.000 3.796 3.796
3.796 0.000 3.796
3.796 3.796 0.000
ATOMIC_POSITIONS angstrom
Pb 3.796 3.796 3.796
Se 0.000 0.000 0.000
In 1.898 1.898 1.898
In 5.694 5.694 5.694
```

[12]
Entry from the Alexandria database: InPb2Se after structural relaxation (PBE). Values from VASP.

Values from the calculation:
- symmetry = Cmm2
- relative energy among the computed polymorphs (meV/atom) = 58.3
- magnetic moment (μB/cell) = 0.000

```
&SYSTEM
  ibrav = 0, nat = 4, ntyp = 3
/
ATOMIC_SPECIES
In 114.82 In.upf
Pb 207.20 Pb.upf
Se 78.96 Se.upf
CELL_PARAMETERS angstrom
3.595 0.658 0.000
-0.665 3.593 0.000
0.000 0.000 8.467
ATOMIC_POSITIONS angstrom
In 1.465 2.125 5.959
Pb 0.000 0.000 8.391
Pb 1.465 2.125 2.296
Se 0.000 0.000 4.521
```

- Which value of magnetic moment does entry 3 give?
  0.000 μB/cell